Computed, not measured: an optimized crystal structure of Sm2ErTmSb4 at the GGA-PBE level of DFT.

Its raw total energy is -5.4967 eV per atom. The calculation puts the uncorrected formation energy at -1.126 eV per atom. The density of states at the Fermi level comes out at 1.1 states/eV per cell. The calculation puts the total moment at 0.000 μB per atom.

The structure belongs to space group P2/m (No. 10); the cell edges are 7.631, 4.413 and 7.637 Å and the angles 90.00°, 109.49° and 90.00°. The inequivalent atoms are Sm at (0.000, 0.000, 0.000), Sm at (0.000, 0.500, 0.500), Er at (0.500, 0.000, 0.500), Tm at (0.500, 0.500, 0.000), Sb at (0.258, 0.500, 0.252) and Sb at (0.259, 0.000, 0.753).

Computed, not measured: an optimized crystal structure of Zr3Tl3VSe8 at the GGA-PBE level of DFT.

Its raw total energy is -5.6189 eV per atom. The calculation puts the uncorrected formation energy at -0.970 eV per atom. The density of states at the Fermi level comes out at 19.9 states/eV per cell. The calculation puts the total moment at 0.166 μB per atom.

The structure belongs to space group R-3m (No. 166, hexagonal axes); the cell edges are 7.5980, 7.5980 and 24.2904 Å and the angles 90.00°, 90.00° and 120.00°. The inequivalent atoms are Zr at (0.0000, 0.5000, 0.0000), Tl at (0.0000, 0.5000, 0.5000), V at (0.0000, 0.0000, 0.0000), Se at (0.0000, 0.0000, 0.2662) and Se at (0.0089, 0.5044, 0.7313).

Computed, not measured: an optimized crystal structure of Ca2La2Au at the GGA-PBE level of DFT.

Its raw total energy is -3.5006 eV per atom. The value obtained for the calculated formation energy is -73 meV per atom. The relative energy among the computed polymorphs is 26 meV/atom. The density of states at the Fermi level comes out at 13.4 states/eV per cell. The calculation puts the total moment at 0.000 μB per atom.

The structure belongs to space group P4/mbm (No. 127); the cell edges are 7.616, 7.616 and 5.991 Å and the angles 90.00°, 90.00° and 90.00°. The inequivalent atoms are Ca at (0.158, 0.342, 0.000), La at (0.160, 0.660, 0.500) and Au at (0.000, 0.000, 0.000).

Computed, not measured: an optimized crystal structure of NaLiCa3 at the GGA-PBE level of DFT.

Its raw total energy is -1.6308 eV per atom. The value obtained for the calculated formation energy is 217 meV per atom. The relative energy among the computed polymorphs is 159 meV/atom. The density of states at the Fermi level comes out at 4.2 states/eV per cell. The calculation puts the total moment at 0.000 μB per atom.

The structure belongs to space group Pm-3m (No. 221); the cell edges are 5.949, 5.949 and 5.949 Å and the angles 90.00°, 90.00° and 90.00°. The inequivalent atoms are Na at (0.000, 0.000, 0.000), Li at (0.500, 0.500, 0.500) and Ca at (0.000, 0.500, 0.500).

Computed, not measured: an optimized crystal structure of Nb3AlS at the GGA-PBE level of DFT.

Its raw total energy is -7.5535 eV per atom. The calculation puts the uncorrected formation energy at 0.062 eV per atom. The relative energy among the computed polymorphs is 383 meV/atom. The density of states at the Fermi level comes out at 7.3 states/eV per cell. The calculation puts the total moment at 0.000 μB per atom.

The structure belongs to space group Pm-3m (No. 221); the cell edges are 4.576, 4.576 and 4.576 Å and the angles 90.00°, 90.00° and 90.00°. The inequivalent atoms are Nb at (0.000, 0.000, 0.500), Al at (0.500, 0.500, 0.500) and S at (0.000, 0.000, 0.000).

Computed, not measured: an optimized crystal structure of MgPRh2 at the GGA-PBE level of DFT.

Its raw total energy is -6.1231 eV per atom. The value obtained for the calculated formation energy is -696 meV per atom. The density of states at the Fermi level comes out at 9.3 states/eV per cell. The calculation puts the total moment at 0.000 μB per atom.

The structure belongs to space group Cmcm (No. 63); the cell edges are 3.100, 10.754 and 6.982 Å and the angles 90.00°, 90.00° and 90.00°. The inequivalent atoms are Mg at (0.000, 0.027, 0.250), P at (0.000, 0.241, 0.750) and Rh at (0.000, 0.359, 0.041).

Computed, not measured: an optimized crystal structure of PmYMgCo at the GGA-PBE level of DFT.

Its raw total energy is -5.0672 eV per atom. The value obtained for the calculated formation energy is -88 meV per atom. The relative energy among the computed polymorphs is 0 meV/atom. The density of states at the Fermi level comes out at 3.6 states/eV per cell. The calculation puts the total moment at 0.201 μB per atom.

The structure belongs to space group P4mm (No. 99); the cell edges are 3.457, 3.457 and 8.141 Å and the angles 90.00°, 90.00° and 90.00°. The inequivalent atoms are Pm at (0.000, 0.000, 0.000), Y at (0.000, 0.000, 0.594), Mg at (0.500, 0.500, 0.304) and Co at (0.500, 0.500, 0.790).

Computed, not measured: an optimized crystal structure of BeAs2Se at the GGA-PBE level of DFT.

Its raw total energy is -3.9631 eV per atom. The calculation puts the uncorrected formation energy at 0.164 eV per atom. The relative energy among the computed polymorphs is 454 meV/atom. The density of states at the Fermi level comes out at 4.8 states/eV per cell. The calculation puts the total moment at 0.000 μB per atom.

The structure belongs to space group I-42d (No. 122); the cell edges are 5.620, 5.620 and 11.182 Å and the angles 90.00°, 90.00° and 90.00°. The inequivalent atoms are Be at (0.000, 0.000, 0.000), As at (0.180, 0.250, 0.125) and Se at (0.000, 0.000, 0.500).

Computed, not measured: an optimized crystal structure of AlSb2PtI at the GGA-PBE level of DFT.

Its raw total energy is -3.0567 eV per atom. The calculation puts the uncorrected formation energy at 0.859 eV per atom. The relative energy among the computed polymorphs is 390 meV/atom. The density of states at the Fermi level comes out at 3.4 states/eV per cell. The calculation puts the total moment at 0.000 μB per atom.

The structure belongs to space group P4/mmm (No. 123); the cell edges are 5.254, 5.254 and 5.159 Å and the angles 90.00°, 90.00° and 90.00°. The inequivalent atoms are Al at (0.000, 0.000, 0.000), Sb at (0.000, 0.500, 0.000), Pt at (0.500, 0.500, 0.500) and I at (0.000, 0.000, 0.500).

Computed, not measured: an optimized crystal structure of CuTe2P at the GGA-PBE level of DFT.

Its raw total energy is -3.7349 eV per atom. The calculation puts the uncorrected formation energy at 0.212 eV per atom. The density of states at the Fermi level comes out at 1.2 states/eV per cell. The calculation puts the total moment at 0.000 μB per atom.

The structure belongs to space group P-4m2 (No. 115); the cell edges are 4.494, 4.494 and 5.226 Å and the angles 90.00°, 90.00° and 90.00°. The inequivalent atoms are Cu at (0.000, 0.000, 0.000), Te at (0.000, 0.500, 0.721) and P at (0.500, 0.500, 0.000).

Computed, not measured: an optimized crystal structure of CeTl2Cu2Se4 at the GGA-PBE level of DFT.

Its raw total energy is -4.4307 eV per atom. The calculation puts the uncorrected formation energy at -0.787 eV per atom. The density of states at the Fermi level comes out at 2.6 states/eV per cell. The calculation puts the total moment at 0.015 μB per atom.

The structure belongs to space group C2/m (No. 12); the cell edges are 14.944, 4.120 and 8.023 Å and the angles 90.00°, 109.02° and 90.00°. The inequivalent atoms are Ce at (0.000, 0.000, 0.000), Tl at (0.138, 0.000, 0.577), Cu at (0.183, 0.500, 0.990), Se at (0.024, 0.500, 0.766) and Se at (0.201, 0.000, 0.178).

Computed, not measured: an optimized crystal structure of LiTa2CrIn at the GGA-PBE level of DFT.

Its raw total energy is -6.3438 eV per atom. The value obtained for the calculated formation energy is 1252 meV per atom. The density of states at the Fermi level comes out at 5.1 states/eV per cell. The calculation puts the total moment at 0.000 μB per atom.

The structure belongs to space group P4/mmm (No. 123); the cell edges are 4.508, 4.508 and 4.338 Å and the angles 90.00°, 90.00° and 90.00°. The inequivalent atoms are Li at (0.000, 0.000, 0.000), Ta at (0.000, 0.500, 0.000), Cr at (0.500, 0.500, 0.500) and In at (0.000, 0.000, 0.500).

The highest raw total energy belongs to which entry?
NaLiCa3